Here is a relaxed BaYCr2F crystal from Alexandria. Energies are from PBE with a Hubbard U.

Cell: 6.180 4.323 6.180 Å, 90.00 90.00 90.00°
Each line ends with the local moment (μB).
Atoms (fractional coordinates):
1 F 0.000 0.500 0.000  0.02
2 Cr 0.000 0.000 0.500  4.29
3 Cr 0.500 0.000 0.000  4.38
4 Y 0.000 0.000 0.000  -0.02
5 Ba 0.500 0.500 0.500  -0.01

Results
VASP energy: -5.451 eV/atom
SG: P4/mmm, No. 123